1.
Crystalline Sc2V2Fe at its relaxed geometry. Source: the Alexandria database, functional GGA-PBE.

Lattice parameters (Å, degrees): 5.959 5.959 4.703 90.00 90.00 90.00
Last column: magnetic moment on the atom in μB.
Element x y z (fractional)
V  0.144  0.356  0.000  0.25
V  0.644  0.144  0.000  0.25
V  0.856  0.644  0.000  0.25
V  0.356  0.856  0.000  0.25
Fe  0.000  0.000  0.000  -0.07
Fe  0.500  0.500  0.000  -0.07
Sc  0.828  0.328  0.500  -0.02
Sc  0.172  0.672  0.500  -0.02
Sc  0.672  0.828  0.500  -0.02
Sc  0.328  0.172  0.500  -0.02

Output
**Space group**: No. 127
**Crystal system**: tetragonal
**Calculated total energy**: -7.76 eV per atom
**Calculated formation energy**: 0.11 eV per atom
**Fermi-level density of states**: 1.17 states/eV/atom
**M_tot**: 0.090 μB per atom

2.
Crystalline SmEr3Ni at its relaxed geometry. Source: the Alexandria database, functional GGA-PBE.

Lattice parameters (Å, degrees): 3.603 6.759 11.625 85.81 90.00 105.46
Element x y z (fractional)
Ni  0.401  0.801  0.465
Ni  0.599  0.199  0.535
Er  0.772  0.544  0.365
Er  0.228  0.456  0.635
Er  0.572  0.145  0.858
Er  0.039  0.077  0.362
Er  0.428  0.855  0.142
Er  0.961  0.923  0.638
Sm  0.165  0.330  0.096
Sm  0.835  0.670  0.904

Output
**Space group**: No. 12
**Energy relative to the lowest polymorph listed for this composition**: 0 meV/atom
**Crystal system**: monoclinic
**Calculated total energy**: -5.01 eV per atom
**Calculated formation energy**: -0.17 eV per atom
**Fermi-level density of states**: 1.28 states/eV/atom
**M_tot**: 0.000 μB per atom

3.
Crystalline Ca2Zn5Cu2Pt at its relaxed geometry. Source: the Alexandria database, functional GGA-PBE.

Lattice parameters (Å, degrees): 4.041 9.316 9.316 90.00 90.00 90.00
Element x y z (fractional)
Cu  0.000  0.605  0.895
Cu  0.000  0.395  0.105
Cu  0.000  0.105  0.605
Cu  0.000  0.895  0.395
Zn  0.500  0.800  0.952
Zn  0.500  0.548  0.700
Zn  0.500  0.000  0.500
Zn  0.500  0.700  0.452
Zn  0.500  0.048  0.800
Zn  0.500  0.500  0.000
Zn  0.500  0.200  0.048
Zn  0.500  0.452  0.300
Zn  0.500  0.300  0.548
Zn  0.500  0.952  0.200
Pt  0.000  0.500  0.500
Pt  0.000  0.000  0.000
Ca  0.000  0.812  0.688
Ca  0.000  0.688  0.188
Ca  0.000  0.188  0.312
Ca  0.000  0.312  0.812

Output
**Space group**: No. 127
**Crystal system**: tetragonal
**Calculated total energy**: -2.70 eV per atom
**Calculated formation energy**: -0.24 eV per atom
**Fermi-level density of states**: 0.35 states/eV/atom
**M_tot**: 0.000 μB per atom

> Which of these has the lowest calculated formation energy?

Ca2Zn5Cu2Pt

What did the first record say?
Crystalline Sc2V2Fe at its relaxed geometry. Source: the Alexandria database, functional GGA-PBE.

Lattice parameters (Å, degrees): 5.959 5.959 4.703 90.00 90.00 90.00
Last column: magnetic moment on the atom in μB.
Element x y z (fractional)
V  0.144  0.356  0.000  0.25
V  0.644  0.144  0.000  0.25
V  0.856  0.644  0.000  0.25
V  0.356  0.856  0.000  0.25
Fe  0.000  0.000  0.000  -0.07
Fe  0.500  0.500  0.000  -0.07
Sc  0.828  0.328  0.500  -0.02
Sc  0.172  0.672  0.500  -0.02
Sc  0.672  0.828  0.500  -0.02
Sc  0.328  0.172  0.500  -0.02

Output
**Space group**: No. 127
**Crystal system**: tetragonal
**Calculated total energy**: -7.76 eV per atom
**Calculated formation energy**: 0.11 eV per atom
**Fermi-level density of states**: 1.17 states/eV/atom
**M_tot**: 0.090 μB per atom

> Number 2 is which compound?

SmEr3Ni